# PBE KAg2SeBr8, relaxed
# - total moment (μB per formula unit) = 0.000
# - uncorrected formation energy (eV per formula unit) = -4.745
# - SG = P-1
# - DOS(E_F) (states/eV/cell) = 4.79
data_KAg2SeBr8
_chemical_formula_sum 'K1 Ag2 Se1 Br8'
_cell_length_a 6.962
_cell_length_b 6.543
_cell_length_c 8.658
_cell_angle_alpha 89.46
_cell_angle_beta 89.90
_cell_angle_gamma 99.25
_symmetry_space_group_name_H-M 'P 1'
_symmetry_Int_Tables_number 1
loop_
_symmetry_equiv_pos_as_xyz
'x,y,z'
loop_
_atom_site_label
_atom_site_fract_x
_atom_site_fract_y
_atom_site_fract_z
Ag1 0.499 0.499 0.746
Ag2 0.501 0.501 0.254
Br1 0.143 0.779 0.796
Br2 0.857 0.221 0.204
Br3 0.655 0.733 0.999
Br4 0.139 0.776 0.206
Br5 0.861 0.224 0.794
Br6 0.469 0.238 0.500
Br7 0.531 0.762 0.500
Br8 0.345 0.267 0.001
Se1 0.000 0.000 0.000
K1 0.000 0.000 0.500



# PBE CaTcRh, relaxed
# - total moment (μB per formula unit) = 0.000
# - relative energy among the computed polymorphs (meV/atom) = 0
# - energy relative to the elements (eV per formula unit) = -0.3
# - SG = Imm2
# - DOS(E_F) (states/eV/cell) = 7.24
data_CaTcRh
_chemical_formula_sum 'Ca2 Tc2 Rh2'
_cell_length_a 5.427
_cell_length_b 5.023
_cell_length_c 5.427
_cell_angle_alpha 62.45
_cell_angle_beta 116.89
_cell_angle_gamma 117.55
_symmetry_space_group_name_H-M 'P 1'
_symmetry_Int_Tables_number 1
loop_
_symmetry_equiv_pos_as_xyz
'x,y,z'
loop_
_atom_site_label
_atom_site_fract_x
_atom_site_fract_y
_atom_site_fract_z
Ca1 0.008 0.358 0.902
Ca2 0.755 0.604 0.155
Rh1 0.871 0.973 0.533
Rh2 0.376 0.973 0.038
Tc1 0.381 0.467 0.529
Tc2 0.382 0.994 0.528



# PBE Th2GaNi, relaxed
# - total moment (μB per formula unit) = 0.000
# - energy relative to the elements (eV per formula unit) = 1.1
# - SG = R-3m
# - DOS(E_F) (states/eV/cell) = 4.12
data_Th2GaNi
_chemical_formula_sum 'Th2 Ga1 Ni1'
_cell_length_a 3.318
_cell_length_b 3.318
_cell_length_c 10.437
_cell_angle_alpha 80.85
_cell_angle_beta 80.85
_cell_angle_gamma 60.00
_symmetry_space_group_name_H-M 'P 1'
_symmetry_Int_Tables_number 1
loop_
_symmetry_equiv_pos_as_xyz
'x,y,z'
loop_
_atom_site_label
_atom_site_fract_x
_atom_site_fract_y
_atom_site_fract_z
Th1 0.083 0.083 0.750
Th2 0.917 0.917 0.250
Ga1 0.500 0.500 0.500
Ni1 0.000 0.000 0.000



# PBE Cs2YGaCl6, relaxed
# - total moment (μB per formula unit) = 0.000
# - relative energy among the computed polymorphs (meV/atom) = 0
# - uncorrected formation energy (eV per formula unit) = -19.107
# - SG = P2_1/c
# - DOS(E_F) (states/eV/cell) = 0.00
data_Cs2YGaCl6
_chemical_formula_sum 'Cs4 Y2 Ga2 Cl12'
_cell_length_a 7.868
_cell_length_b 7.921
_cell_length_c 11.177
_cell_angle_alpha 90.00
_cell_angle_beta 89.99
_cell_angle_gamma 90.00
_symmetry_space_group_name_H-M 'P 1'
_symmetry_Int_Tables_number 1
loop_
_symmetry_equiv_pos_as_xyz
'x,y,z'
loop_
_atom_site_label
_atom_site_fract_x
_atom_site_fract_y
_atom_site_fract_z
Cl1 0.447 0.993 0.735
Cl2 0.267 0.702 0.028
Cl3 0.733 0.298 0.972
Cl4 0.700 0.268 0.527
Cl5 0.553 0.007 0.265
Cl6 0.053 0.493 0.765
Cl7 0.947 0.507 0.235
Cl8 0.200 0.232 0.027
Cl9 0.767 0.798 0.528
Cl10 0.300 0.732 0.473
Cl11 0.800 0.768 0.973
Cl12 0.233 0.202 0.472
Cs1 0.507 0.535 0.750
Cs2 0.493 0.465 0.250
Cs3 0.007 0.965 0.250
Cs4 0.993 0.035 0.750
Ga1 0.000 0.500 0.500
Ga2 0.500 0.000 0.000
Y1 0.500 0.000 0.500
Y2 0.000 0.500 0.000



# PBE Y2Cd2Hg, relaxed
# - total moment (μB per formula unit) = 0.000
# - relative energy among the computed polymorphs (meV/atom) = 168
# - energy relative to the elements (eV per formula unit) = -0.7
# - SG = P4/mbm
# - DOS(E_F) (states/eV/cell) = 12.87
data_Y2Cd2Hg
_chemical_formula_sum 'Y4 Cd4 Hg2'
_cell_length_a 8.449
_cell_length_b 8.449
_cell_length_c 3.941
_cell_angle_alpha 90.00
_cell_angle_beta 90.00
_cell_angle_gamma 90.00
_symmetry_space_group_name_H-M 'P 1'
_symmetry_Int_Tables_number 1
loop_
_symmetry_equiv_pos_as_xyz
'x,y,z'
loop_
_atom_site_label
_atom_site_fract_x
_atom_site_fract_y
_atom_site_fract_z
Cd1 0.637 0.863 0.500
Cd2 0.363 0.137 0.500
Cd3 0.863 0.363 0.500
Cd4 0.137 0.637 0.500
Hg1 0.500 0.500 0.000
Hg2 0.000 0.000 0.000
Y1 0.341 0.841 0.000
Y2 0.159 0.341 0.000
Y3 0.841 0.659 0.000
Y4 0.659 0.159 0.000



# PBE InPS2Cl, relaxed
# - total moment (μB per formula unit) = 0.001
# - relative energy among the computed polymorphs (meV/atom) = 943
# - uncorrected formation energy (eV per formula unit) = 4.770
# - SG = P4/mmm
# - DOS(E_F) (states/eV/cell) = 5.28
data_InPS2Cl
_chemical_formula_sum 'In1 P1 S2 Cl1'
_cell_length_a 4.687
_cell_length_b 4.687
_cell_length_c 4.873
_cell_angle_alpha 90.00
_cell_angle_beta 90.00
_cell_angle_gamma 90.00
_symmetry_space_group_name_H-M 'P 1'
_symmetry_Int_Tables_number 1
loop_
_symmetry_equiv_pos_as_xyz
'x,y,z'
loop_
_atom_site_label
_atom_site_fract_x
_atom_site_fract_y
_atom_site_fract_z
P1 0.000 0.000 0.500
In1 0.500 0.500 0.500
S1 0.000 0.500 0.000
S2 0.500 0.000 0.000
Cl1 0.000 0.000 0.000



# PBE ZrSbN2O, relaxed
# - total moment (μB per formula unit) = 0.000
# - uncorrected formation energy (eV per formula unit) = -0.085
# - SG = P4/mmm
# - DOS(E_F) (states/eV/cell) = 2.78
data_ZrSbN2O
_chemical_formula_sum 'Zr1 Sb1 N2 O1'
_cell_length_a 4.055
_cell_length_b 4.055
_cell_length_c 3.920
_cell_angle_alpha 90.00
_cell_angle_beta 90.00
_cell_angle_gamma 90.00
_symmetry_space_group_name_H-M 'P 1'
_symmetry_Int_Tables_number 1
loop_
_symmetry_equiv_pos_as_xyz
'x,y,z'
loop_
_atom_site_label
_atom_site_fract_x
_atom_site_fract_y
_atom_site_fract_z
N1 0.000 0.500 0.000
N2 0.500 0.000 0.000
Sb1 0.000 0.000 0.000
Zr1 0.500 0.500 0.500
O1 0.000 0.000 0.500



# PBE CoS3Br, relaxed
# - total moment (μB per formula unit) = 0.141
# - relative energy among the computed polymorphs (meV/atom) = 0
# - uncorrected formation energy (eV per formula unit) = 2.863
# - SG = Pm-3m
# - DOS(E_F) (states/eV/cell) = 6.52
data_CoS3Br
_chemical_formula_sum 'Co1 S3 Br1'
_cell_length_a 4.467
_cell_length_b 4.467
_cell_length_c 4.467
_cell_angle_alpha 90.00
_cell_angle_beta 90.00
_cell_angle_gamma 90.00
_symmetry_space_group_name_H-M 'P 1'
_symmetry_Int_Tables_number 1
loop_
_symmetry_equiv_pos_as_xyz
'x,y,z'
loop_
_atom_site_label
_atom_site_fract_x
_atom_site_fract_y
_atom_site_fract_z
S1 0.500 0.000 0.000
S2 0.000 0.500 0.000
S3 0.000 0.000 0.500
Br1 0.500 0.500 0.500
Co1 0.000 0.000 0.000



# PBE Na3AgHg, relaxed
# - total moment (μB per formula unit) = 0.000
# - relative energy among the computed polymorphs (meV/atom) = 172
# - energy relative to the elements (eV per formula unit) = 0.5
# - SG = Pm-3m
# - DOS(E_F) (states/eV/cell) = 2.72
data_Na3AgHg
_chemical_formula_sum 'Na3 Ag1 Hg1'
_cell_length_a 5.620
_cell_length_b 5.620
_cell_length_c 5.620
_cell_angle_alpha 90.00
_cell_angle_beta 90.00
_cell_angle_gamma 90.00
_symmetry_space_group_name_H-M 'P 1'
_symmetry_Int_Tables_number 1
loop_
_symmetry_equiv_pos_as_xyz
'x,y,z'
loop_
_atom_site_label
_atom_site_fract_x
_atom_site_fract_y
_atom_site_fract_z
Na1 0.000 0.000 0.500
Na2 0.000 0.500 0.000
Na3 0.500 0.000 0.000
Hg1 0.500 0.500 0.500
Ag1 0.000 0.000 0.000



# PBE Nb2Al4Ga3, relaxed
# - total moment (μB per formula unit) = 0.000
# - energy relative to the elements (eV per formula unit) = -2.6
# - SG = C2/m
# - DOS(E_F) (states/eV/cell) = 3.45
data_Nb2Al4Ga3
_chemical_formula_sum 'Nb2 Al4 Ga3'
_cell_length_a 3.777
_cell_length_b 5.120
_cell_length_c 8.590
_cell_angle_alpha 74.33
_cell_angle_beta 77.30
_cell_angle_gamma 68.36
_symmetry_space_group_name_H-M 'P 1'
_symmetry_Int_Tables_number 1
loop_
_symmetry_equiv_pos_as_xyz
'x,y,z'
loop_
_atom_site_label
_atom_site_fract_x
_atom_site_fract_y
_atom_site_fract_z
Al1 0.979 0.369 0.674
Al2 0.021 0.631 0.326
Al3 0.677 0.535 0.111
Al4 0.323 0.465 0.889
Ga1 0.000 0.000 0.000
Ga2 0.680 0.193 0.447
Ga3 0.320 0.807 0.553
Nb1 0.646 0.924 0.785
Nb2 0.354 0.076 0.215



# PBE InGaI3, relaxed
# - total moment (μB per formula unit) = 0.000
# - relative energy among the computed polymorphs (meV/atom) = 251
# - uncorrected formation energy (eV per formula unit) = -1.182
# - SG = Pm-3m
# - DOS(E_F) (states/eV/cell) = 1.28
data_InGaI3
_chemical_formula_sum 'In1 Ga1 I3'
_cell_length_a 6.055
_cell_length_b 6.055
_cell_length_c 6.055
_cell_angle_alpha 90.00
_cell_angle_beta 90.00
_cell_angle_gamma 90.00
_symmetry_space_group_name_H-M 'P 1'
_symmetry_Int_Tables_number 1
loop_
_symmetry_equiv_pos_as_xyz
'x,y,z'
loop_
_atom_site_label
_atom_site_fract_x
_atom_site_fract_y
_atom_site_fract_z
In1 0.000 0.000 0.000
I1 0.500 0.000 0.000
I2 0.000 0.000 0.500
I3 0.000 0.500 0.000
Ga1 0.500 0.500 0.500